VASP calculation (PBE-GGA) on an optimized crystal structure of Pr4HgBr5.

Calculated values
Formation energy (no corrections) (meV per atom): -1347
DFT total energy (eV/atom): -4.13
V (Å³ per atom): 34.88
Space group: C2/m, No. 12

a = 9.6286 Å, b = 9.6286 Å, c = 9.1004 Å
α = 101.64°, β = 101.64°, γ = 25.00°
With the nearest neighbours (Å) after each atom.
Element x y z (fractional)
Pr 0.0036 0.0036 0.2433  2 Hg 3.03, 4 Br 3.04-3.15
Pr 0.3355 0.3355 0.9269  1 Hg 3.03, 5 Br 3.05-3.10
Pr 0.6645 0.6645 0.0731  1 Hg 3.03, 5 Br 3.05-3.10
Pr 0.9964 0.9964 0.7567  2 Hg 3.03, 4 Br 3.04-3.15
Hg 0.5000 0.5000 0.0000  6 Pr 3.03
Br 0.1674 0.1674 0.8235  4 Pr 3.09-3.15
Br 0.1687 0.1687 0.3199  3 Pr 3.04-3.05
Br 0.5000 0.5000 0.5000  4 Pr 3.14
Br 0.8313 0.8313 0.6801  3 Pr 3.04-3.05
Br 0.8326 0.8326 0.1765  4 Pr 3.09-3.15

---

VASP calculation (PBE-GGA) on an optimized crystal structure of ZrV2Sb.

Calculated values
Formation energy (no corrections) (meV per atom): 552
DFT total energy (eV/atom): -7.17
V (Å³ per atom): 19.54
Space group: I-42d, No. 122

a = 7.4466 Å, b = 7.4466 Å, c = 5.6388 Å
α = 90.00°, β = 90.00°, γ = 90.00°
With the nearest neighbours (Å) after each atom.
Element x y z (fractional)
Zr 0.0000 0.0000 0.0000  4 V 2.81, 2 Sb 2.82
Zr 0.0000 0.5000 0.2500  4 V 2.81, 2 Sb 2.82
Zr 0.5000 0.0000 0.7500  4 V 2.81, 2 Sb 2.82
Zr 0.5000 0.5000 0.5000  4 V 2.81, 2 Sb 2.82
V 0.2334 0.2500 0.6250  2 Sb 2.64, 2 Zr 2.81, 2 V 2.83
V 0.2500 0.7334 0.8750  2 Sb 2.64, 2 Zr 2.81, 2 V 2.83
V 0.2500 0.7666 0.3750  2 Sb 2.64, 2 Zr 2.81, 2 V 2.83
V 0.2666 0.2500 0.1250  2 Sb 2.64, 2 Zr 2.81, 2 V 2.83
V 0.7334 0.7500 0.1250  2 Sb 2.64, 2 Zr 2.81, 2 V 2.83
V 0.7500 0.2334 0.3750  2 Sb 2.64, 2 Zr 2.81, 2 V 2.83
V 0.7500 0.2666 0.8750  2 Sb 2.64, 2 Zr 2.81, 2 V 2.83
V 0.7666 0.7500 0.6250  2 Sb 2.64, 2 Zr 2.81, 2 V 2.83
Sb 0.0000 0.0000 0.5000  4 V 2.64, 2 Zr 2.82
Sb 0.0000 0.5000 0.7500  4 V 2.64, 2 Zr 2.82
Sb 0.5000 0.0000 0.2500  4 V 2.64, 2 Zr 2.82
Sb 0.5000 0.5000 0.0000  4 V 2.64, 2 Zr 2.82

---

VASP calculation (PBE-GGA) on an optimized crystal structure of Tl4Cl5F2.

Calculated values
Formation energy (no corrections) (meV per atom): -1052
DFT total energy (eV/atom): -3.09
V (Å³ per atom): 29.99
Space group: P-1, No. 2

a = 4.0692 Å, b = 9.4874 Å, c = 9.5013 Å
α = 112.63°, β = 101.90°, γ = 90.14°
With the nearest neighbours (Å) after each atom.
Element x y z (fractional)
Tl 0.0155 0.2901 0.0279  2 F 2.39, 2 Cl 2.57-2.59
Tl 0.3215 0.8065 0.6297  1 F 2.68
Tl 0.6785 0.1935 0.3703  1 F 2.68
Tl 0.9845 0.7099 0.9721  2 F 2.39, 2 Cl 2.57-2.59
Cl 0.1241 0.9012 0.2586  1 Tl 2.57
Cl 0.1604 0.4307 0.3293  1 Tl 2.59
Cl 0.5000 0.5000 0.0000  4 Tl 2.92-2.94
Cl 0.8396 0.5693 0.6707  1 Tl 2.59
Cl 0.8759 0.0988 0.7414  1 Tl 2.57
F 0.4608 0.8150 0.9218  2 Tl 2.39
F 0.5392 0.1850 0.0782  2 Tl 2.39

---

VASP calculation (PBE-GGA) on an optimized crystal structure of LiAc4Zn.

Calculated values
ΔH_f (0 K) (eV per atom): 0.19
DFT total energy (eV/atom): -3.08
V (Å³ per atom): 39.36
Space group: P4/mmm, No. 123

a = 5.4694 Å, b = 5.4694 Å, c = 7.8942 Å
α = 90.00°, β = 90.00°, γ = 90.00°
With the nearest neighbours (Å) after each atom.
Element x y z (fractional)
Li 0.0000 0.0000 0.0000  8 Ac 3.44
Ac 0.0000 0.5000 0.2644  2 Zn 3.31, 2 Li 3.44
Ac 0.0000 0.5000 0.7356  2 Zn 3.31, 2 Li 3.44
Ac 0.5000 0.0000 0.2644  2 Zn 3.31, 2 Li 3.44
Ac 0.5000 0.0000 0.7356  2 Zn 3.31, 2 Li 3.44
Zn 0.5000 0.5000 0.5000  8 Ac 3.31

---

VASP calculation (PBE-GGA) on an optimized crystal structure of CdTeRu2.

Calculated values
Formation energy (no corrections) (meV per atom): 622
Excess energy over the best structure of this formula in the dataset (eV per atom): 0.3747
DFT total energy (eV/atom): -5.03
V (Å³ per atom): 18.08
Space group: C2/m, No. 12

a = 6.1034 Å, b = 8.5143 Å, c = 3.0681 Å
α = 90.00°, β = 114.87°, γ = 90.00°
With the nearest neighbours (Å) after each atom.
Element x y z (fractional)
Cd 0.0000 0.0000 0.0000  4 Ru 2.69
Cd 0.5000 0.5000 0.0000  4 Ru 2.69
Te 0.0000 0.5000 0.0000  4 Ru 2.69
Te 0.5000 0.0000 0.0000  4 Ru 2.69
Ru 0.2500 0.2500 0.5000  2 Cd 2.69, 2 Te 2.69
Ru 0.2500 0.7500 0.5000  2 Cd 2.69, 2 Te 2.69
Ru 0.7500 0.2500 0.5000  2 Cd 2.69, 2 Te 2.69
Ru 0.7500 0.7500 0.5000  2 Te 2.69, 2 Cd 2.69

---

VASP calculation (PBE-GGA) on an optimized crystal structure of Pr2Sn3Au6.

Calculated values
ΔH_f (0 K) (eV per atom): -0.46
DFT total energy (eV/atom): -4.21
V (Å³ per atom): 24.10
Space group: Cmmm, No. 65

a = 8.4055 Å, b = 8.4055 Å, c = 4.0397 Å
α = 90.00°, β = 90.00°, γ = 111.73°
With the nearest neighbours (Å) after each atom.
Element x y z (fractional)
Pr 0.2117 0.2117 0.0000  8 Au 3.12-3.20, 2 Sn 3.39
Pr 0.7883 0.7883 0.0000  8 Au 3.12-3.20, 2 Sn 3.39
Sn 0.2538 0.7462 0.0000  6 Au 2.88-2.99
Sn 0.5000 0.5000 0.5000  4 Au 2.88
Sn 0.7462 0.2538 0.0000  6 Au 2.88-2.99
Au 0.1060 0.8940 0.5000  2 Sn 2.88, 3 Au 2.95-2.97, 4 Pr 3.20
Au 0.1458 0.4641 0.5000  2 Au 2.73-2.97, 3 Sn 2.88-2.99
Au 0.4641 0.1458 0.5000  2 Au 2.73-2.97, 3 Sn 2.88-2.99
Au 0.5359 0.8542 0.5000  2 Au 2.73-2.97, 3 Sn 2.88-2.99
Au 0.8542 0.5359 0.5000  2 Au 2.73-2.97, 3 Sn 2.88-2.99
Au 0.8940 0.1060 0.5000  2 Sn 2.88, 3 Au 2.95-2.97, 4 Pr 3.20

---

VASP calculation (PBE-GGA) on an optimized crystal structure of CuNi2HgH.

Calculated values
DFT total energy (eV/atom): -3.79
V (Å³ per atom): 11.19
Space group: P4/mmm, No. 123

a = 3.8092 Å, b = 3.8092 Å, c = 3.8557 Å
α = 90.00°, β = 90.00°, γ = 90.00°
With the nearest neighbours (Å) after each atom.
Element x y z (fractional)
Cu 0.0000 0.0000 0.0000  2 H 1.93
Ni 0.0000 0.5000 0.5000  2 H 1.90
Ni 0.5000 0.0000 0.5000  2 H 1.90
Hg 0.5000 0.5000 0.0000  4 Cu 2.69, 8 Ni 2.71
H 0.0000 0.0000 0.5000  4 Ni 1.90, 2 Cu 1.93

---

VASP calculation (PBE-GGA) on an optimized crystal structure of Dy3ErBi3.

Calculated values
Excess energy over the best structure of this formula in the dataset (eV per atom): 0.0721
ΔH_f (0 K) (eV per atom): -0.64
DFT total energy (eV/atom): -4.93
V (Å³ per atom): 31.88
Space group: R-3, No. 148

a = 8.1712 Å, b = 8.1712 Å, c = 8.1712 Å
α = 67.34°, β = 67.34°, γ = 67.34°
With the nearest neighbours (Å) after each atom.
Element x y z (fractional)
Dy 0.0828 0.8269 0.3355  5 Bi 3.12-3.37
Dy 0.1731 0.6645 0.9172  5 Bi 3.12-3.37
Dy 0.3355 0.0828 0.8269  5 Bi 3.12-3.37
Dy 0.6645 0.9172 0.1731  5 Bi 3.12-3.37
Dy 0.8269 0.3355 0.0828  5 Bi 3.12-3.37
Dy 0.9172 0.1731 0.6645  5 Bi 3.12-3.37
Er 0.3334 0.3334 0.3334  6 Bi 3.20-3.22
Er 0.6666 0.6666 0.6666  6 Bi 3.20-3.22
Bi 0.0826 0.4779 0.6928  5 Dy 3.12-3.37, 2 Er 3.20-3.22
Bi 0.3072 0.9174 0.5221  5 Dy 3.12-3.37, 2 Er 3.20-3.22
Bi 0.4779 0.6928 0.0826  5 Dy 3.12-3.37, 2 Er 3.20-3.22
Bi 0.5221 0.3072 0.9174  5 Dy 3.12-3.37, 2 Er 3.20-3.22
Bi 0.6928 0.0826 0.4779  5 Dy 3.12-3.37, 2 Er 3.20-3.22
Bi 0.9174 0.5221 0.3072  5 Dy 3.12-3.37, 2 Er 3.20-3.22

---

VASP calculation (PBE-GGA) on an optimized crystal structure of LaTlRu2O8.

Calculated values
Formation energy (no corrections) (meV per atom): -1305
DFT total energy (eV/atom): -6.76
V (Å³ per atom): 18.80
Space group: R-3, No. 148

a = 8.6933 Å, b = 8.6933 Å, c = 8.6933 Å
α = 38.20°, β = 38.20°, γ = 38.20°
With the nearest neighbours (Å) after each atom.
Element x y z (fractional)
La 0.0000 0.0000 0.0000  6 O 2.42
Tl 0.5000 0.5000 0.5000  12 O 3.29-3.31
Ru 0.2483 0.2483 0.2483  4 O 1.75-1.81
Ru 0.7517 0.7517 0.7517  4 O 1.75-1.81
O 0.0180 0.7363 0.4223  1 Ru 1.81
O 0.1757 0.1757 0.1757  1 Ru 1.75
O 0.2637 0.5777 0.9820  1 Ru 1.81
O 0.4223 0.0180 0.7363  1 Ru 1.81
O 0.5777 0.9820 0.2637  1 Ru 1.81
O 0.7363 0.4223 0.0180  1 Ru 1.81
O 0.8243 0.8243 0.8243  1 Ru 1.75
O 0.9820 0.2637 0.5777  1 Ru 1.81

---

VASP calculation (PBE-GGA) on an optimized crystal structure of Th3Zn3Cu2.

Calculated values
Excess energy over the best structure of this formula in the dataset (eV per atom): 0.0000
ΔH_f (0 K) (eV per atom): -0.20
DFT total energy (eV/atom): -4.49
V (Å³ per atom): 21.40
Space group: Cmcm, No. 63

a = 5.5813 Å, b = 5.5813 Å, c = 14.9601 Å
α = 90.00°, β = 90.00°, γ = 132.71°
With the nearest neighbours (Å) after each atom.
Element x y z (fractional)
Th 0.0895 0.9105 0.6099  4 Cu 3.02-3.34, 7 Zn 3.15-3.27
Th 0.0895 0.9105 0.8901  4 Cu 3.02-3.34, 7 Zn 3.15-3.27
Th 0.3620 0.6380 0.7500  5 Zn 3.04-3.18, 4 Cu 3.26
Th 0.6380 0.3620 0.2500  5 Zn 3.04-3.18, 4 Cu 3.26
Th 0.9105 0.0895 0.1099  4 Cu 3.02-3.34, 7 Zn 3.15-3.27
Th 0.9105 0.0895 0.3901  4 Cu 3.02-3.34, 7 Zn 3.15-3.27
Zn 0.3391 0.6609 0.2500  2 Cu 2.65
Zn 0.3815 0.6185 0.5378  3 Cu 2.57-2.72, 1 Zn 2.67
Zn 0.3815 0.6185 0.9622  3 Cu 2.57-2.72, 1 Zn 2.67
Zn 0.6185 0.3815 0.0378  3 Cu 2.57-2.72, 1 Zn 2.67
Zn 0.6185 0.3815 0.4622  3 Cu 2.57-2.72, 1 Zn 2.67
Zn 0.6609 0.3391 0.7500  2 Cu 2.65
Cu 0.2055 0.7945 0.0984  4 Zn 2.57-2.72
Cu 0.2055 0.7945 0.4016  4 Zn 2.57-2.72
Cu 0.7945 0.2055 0.5984  4 Zn 2.57-2.72
Cu 0.7945 0.2055 0.9016  4 Zn 2.57-2.72

---

VASP calculation (PBE-GGA) on an optimized crystal structure of Cs2Cu2TcO6.

Calculated values
Formation energy (no corrections) (meV per atom): -1147
DFT total energy (eV/atom): -5.69
V (Å³ per atom): 17.04
Space group: R-3m, No. 166

a = 7.0781 Å, b = 7.0781 Å, c = 7.0781 Å
α = 49.33°, β = 49.33°, γ = 49.33°
With the nearest neighbours (Å) after each atom.
Element x y z (fractional)
Cs 0.2139 0.2139 0.2139  9 O 3.15-3.24, 1 Cu 3.32
Cs 0.7861 0.7861 0.7861  9 O 3.15-3.24, 1 Cu 3.32
Cu 0.3923 0.3923 0.3923  3 O 1.86
Cu 0.6077 0.6077 0.6077  3 O 1.86
Tc 0.0000 0.0000 0.0000  6 O 1.93
O 0.2130 0.2130 0.7571  1 Cu 1.86, 1 Tc 1.93
O 0.2130 0.7571 0.2130  1 Cu 1.86, 1 Tc 1.93
O 0.2429 0.7870 0.7870  1 Cu 1.86, 1 Tc 1.93
O 0.7571 0.2130 0.2130  1 Cu 1.86, 1 Tc 1.93
O 0.7870 0.2429 0.7870  1 Cu 1.86, 1 Tc 1.93
O 0.7870 0.7870 0.2429  1 Cu 1.86, 1 Tc 1.93

---

VASP calculation (PBE-GGA) on an optimized crystal structure of NiPbBr.

Calculated values
Formation energy (no corrections) (meV per atom): 199
Excess energy over the best structure of this formula in the dataset (eV per atom): 0.2491
DFT total energy (eV/atom): -3.52
V (Å³ per atom): 23.74
Space group: F-43m, No. 216

a = 6.5802 Å, b = 6.5802 Å, c = 6.5802 Å
α = 90.00°, β = 90.00°, γ = 90.00°
With the nearest neighbours (Å) after each atom.
Element x y z (fractional)
Ni 0.0000 0.0000 0.0000  4 Br 2.85, 4 Pb 2.85
Ni 0.0000 0.5000 0.5000  4 Br 2.85, 4 Pb 2.85
Ni 0.5000 0.0000 0.5000  4 Br 2.85, 4 Pb 2.85
Ni 0.5000 0.5000 0.0000  4 Br 2.85, 4 Pb 2.85
Pb 0.2500 0.2500 0.7500  4 Ni 2.85
Pb 0.2500 0.7500 0.2500  4 Ni 2.85
Pb 0.7500 0.2500 0.2500  4 Ni 2.85
Pb 0.7500 0.7500 0.7500  4 Ni 2.85
Br 0.2500 0.2500 0.2500  4 Ni 2.85
Br 0.2500 0.7500 0.7500  4 Ni 2.85
Br 0.7500 0.2500 0.7500  4 Ni 2.85
Br 0.7500 0.7500 0.2500  4 Ni 2.85

---

| no. | theoretical density (g/cm3) |
| --- | --- |
| 1 | 5.5 |
| 2 | 6.7 |
| 3 | 5.2 |
| 4 | 6.9 |
| 5 | 10.2 |
| 6 | 11.4 |
| 7 | 11.4 |
| 8 | 9.5 |
| 9 | 5.0 |
| 10 | 9.9 |
| 11 | 5.2 |
| 12 | 8.1 |